This record from Alexandria describes crystalline Ce2Y4Pb3O2 at its relaxed geometry. The functional is PBE.

Cell and atoms, written as POSCAR:
```
Ce2Y4Pb3O2
1.0
4.7232 0.0000 0.0000
0.0000 4.7232 0.0000
-2.3616 -2.3616 12.8632
O Y Pb Ce
2 4 3 2
direct
0.4034 0.4034 0.8068
0.5966 0.5966 0.1932
0.5826 0.0826 0.1651
0.0826 0.5826 0.1651
0.9174 0.4174 0.8349
0.4174 0.9174 0.8349
0.1750 0.1750 0.3501
0.8250 0.8250 0.6499
0.0000 0.0000 0.0000
0.6942 0.6942 0.3884
0.3058 0.3058 0.6116
```

space group	No. 139
total magnetization	2.71	μB per formula unit
formation energy from raw total energies	-1.3583	eV/atom